Compound: Pm5InPt4
Source: Alexandria
Functional: PBE
Structure: optimized geometry Values from VASP.

Summary:
Total energy (eV per cell): -60.22
N(E_F) (states/eV per atom): 0.730
Calculated formation energy (eV/atom): -0.957

Quantum ESPRESSO input file:
```
&SYSTEM
  ibrav = 0, nat = 10, ntyp = 3
/
ATOMIC_SPECIES
Pm 145.00 Pm.upf
Pt 195.08 Pt.upf
In 114.82 In.upf
CELL_PARAMETERS angstrom
-3.1044 -0.8443 -1.6222
-1.3806 -1.0140 3.1698
-6.1916 17.3091 2.8402
ATOMIC_POSITIONS crystal
Pm 0.5000 0.5000 0.6917
Pm 0.5000 0.5000 0.5000
Pm 0.5000 0.5000 0.8814
Pm 0.5000 0.5000 0.3083
Pm 0.5000 0.5000 0.1186
Pt 0.0000 0.0000 0.4044
Pt 0.0000 0.0000 0.7893
Pt 0.0000 0.0000 0.2107
Pt 0.0000 0.0000 0.5956
In 0.0000 0.0000 0.0000
```